[1]
The following is a DFT calculation (PBE-GGA) of a relaxed structure of CsLiScI2.

Values from the calculation:
Uncorrected formation energy, eV/atom: -0.1452
Space group: P4/mmm, No. 123

Geometry as POSCAR:
```
CsLiScI2
1.0
5.729 0.000 0.000
0.000 5.729 0.000
0.000 0.000 6.273
Cs Li Sc I
1 1 1 2
Direct
0.000 0.000 0.000
0.000 0.000 0.500
0.500 0.500 0.000
0.000 0.500 0.500
0.500 0.000 0.500
```

[2]
The following is a DFT calculation (PBE-GGA) of a relaxed structure of Cs2LiSeI.

Values from the calculation:
Uncorrected formation energy, eV/atom: -1.2199
Space group: P4/mmm, No. 123

Geometry as POSCAR:
```
Cs2LiSeI
1.0
7.074 0.000 0.000
0.000 7.074 0.000
0.000 0.000 4.770
Cs Li Se I
2 1 1 1
Direct
0.000 0.500 0.000
0.500 0.000 0.000
0.000 0.000 0.500
0.000 0.000 0.000
0.500 0.500 0.500
```

[3]
The following is a DFT calculation (PBE-GGA) of a relaxed structure of Cs3Li2SmI9.

Values from the calculation:
Uncorrected formation energy, eV/atom: -1.2815
Space group: P-3m1, No. 164

Geometry as POSCAR:
```
Cs3Li2SmI9
1.0
8.497 0.000 0.000
-4.248 7.358 0.000
0.000 0.000 10.571
Cs Li Sm I
3 2 1 9
Direct
0.000 0.000 0.000
0.333 0.667 0.676
0.667 0.333 0.324
0.333 0.667 0.141
0.667 0.333 0.859
0.000 0.000 0.500
0.000 0.500 0.000
0.170 0.340 0.331
0.170 0.830 0.331
0.340 0.170 0.669
0.500 0.000 0.000
0.500 0.500 0.000
0.660 0.830 0.331
0.830 0.170 0.669
0.830 0.660 0.669
```

[4]
The following is a DFT calculation (PBE-GGA) of a relaxed structure of Cs3Li2SmI8.

Values from the calculation:
Uncorrected formation energy, eV/atom: -1.3799
Space group: P-3m1, No. 164

Geometry as POSCAR:
```
Cs3Li2SmI8
1.0
8.575 0.000 0.000
-4.288 7.427 0.000
0.000 0.000 10.919
Cs Li Sm I
3 2 1 8
Direct
0.000 0.000 0.000
0.333 0.667 0.635
0.667 0.333 0.365
0.333 0.667 0.205
0.667 0.333 0.795
0.000 0.000 0.500
0.166 0.332 0.331
0.166 0.834 0.331
0.332 0.166 0.669
0.333 0.667 0.968
0.667 0.333 0.032
0.668 0.834 0.331
0.834 0.166 0.669
0.834 0.668 0.669
```